(1)
VASP calculation (PBE-GGA) on a geometry-optimized Pm6As3Se2Cl structure.

Cell and atoms, written as POSCAR:
```
Pm6As3Se2Cl
1.0
-3.4361 -0.4779 -2.3764
-2.7715 -6.0436 5.2228
-1.8141 7.9836 4.7379
Pm Se As Cl
6 2 3 1
direct
0.3252 0.9195 0.6504 Pm
0.6655 0.5894 0.3311 Pm
0.6748 0.0805 0.3496 Pm
0.9977 0.2680 0.9955 Pm
0.0023 0.7320 0.0045 Pm
0.3345 0.4106 0.6689 Pm
0.8352 0.6705 0.6704 Se
0.1648 0.3295 0.3296 Se
0.8358 0.1660 0.6717 As
0.5000 0.5000 0.0000 As
0.1642 0.8340 0.3283 As
0.5000 0.0000 0.0000 Cl
```

SG   C2/m, No. 12


(2)
VASP calculation (PBE-GGA) on a geometry-optimized Pm4AsSe2Cl structure.

Cell and atoms, written as POSCAR:
```
Pm4AsSe2Cl
1.0
4.2129 0.0000 0.0000
0.0000 7.2531 -0.1300
0.0000 2.5668 6.8111
Pm Se Cl As
4 2 1 1
direct
0.0000 0.7642 0.7276 Pm
0.0000 0.2358 0.2724 Pm
0.5000 0.7508 0.2668 Pm
0.5000 0.2492 0.7332 Pm
0.5000 0.0000 0.5000 Se
0.0000 0.0000 0.0000 Se
0.5000 0.5000 0.0000 Cl
0.0000 0.5000 0.5000 As
```

SG   P2/m, No. 10


(3)
VASP calculation (PBE-GGA) on a geometry-optimized Pm6As2Se3Cl structure.

Cell and atoms, written as POSCAR:
```
Pm6As2Se3Cl
1.0
-3.8136 -0.5416 1.6953
3.4779 -0.5784 7.6391
0.2611 9.2473 -1.6818
Cl Pm As Se
1 6 2 3
direct
0.5000 0.0000 0.0000 Cl
0.9961 0.7300 0.9921 Pm
0.3244 0.9038 0.6488 Pm
0.6696 0.5787 0.3392 Pm
0.6756 0.0962 0.3512 Pm
0.0039 0.2700 0.0079 Pm
0.3304 0.4213 0.6608 Pm
0.1655 0.3307 0.3310 As
0.8345 0.6693 0.6690 As
0.8383 0.1653 0.6766 Se
0.5000 0.5000 0.0000 Se
0.1617 0.8347 0.3234 Se
```

SG   C2/m, No. 12


(4)
VASP calculation (PBE-GGA) on a geometry-optimized Pm6Si2AsCl3 structure.

Cell and atoms, written as POSCAR:
```
Pm6Si2AsCl3
1.0
4.2128 0.0000 0.0000
0.0000 8.3943 0.3194
-2.1064 -2.4055 8.8487
Cl Si Pm As
3 2 6 1
direct
0.8345 0.1660 0.6690 Cl
0.1655 0.8340 0.3310 Cl
0.5000 0.5000 0.0000 Cl
0.8328 0.6657 0.6656 Si
0.1672 0.3343 0.3344 Si
0.3355 0.8962 0.6710 Pm
0.9906 0.7582 0.9813 Pm
0.6722 0.5705 0.3443 Pm
0.6645 0.1038 0.3290 Pm
0.3278 0.4295 0.6557 Pm
0.0094 0.2418 0.0187 Pm
0.5000 0.0000 0.0000 As
```

SG   C2/m, No. 12


(5)
VASP calculation (PBE-GGA) on a geometry-optimized Pm4SiAsCl2 structure.

Cell and atoms, written as POSCAR:
```
Pm4SiAsCl2
1.0
-0.6509 -3.7973 -1.6811
6.4613 0.4006 -3.4066
0.8880 -3.0493 6.5438
Pm As Cl Si
4 1 2 1
direct
0.0000 0.2509 0.7763 Pm
0.0000 0.7491 0.2237 Pm
0.5000 0.7654 0.7761 Pm
0.5000 0.2346 0.2239 Pm
0.5000 0.5000 0.0000 As
0.0000 0.5000 0.5000 Cl
0.5000 0.0000 0.5000 Cl
0.0000 0.0000 0.0000 Si
```

SG   P2/m, No. 10


(6)
VASP calculation (PBE-GGA) on a geometry-optimized Pm4SiAs2Cl structure.

Cell and atoms, written as POSCAR:
```
Pm4SiAs2Cl
1.0
-3.3237 -1.4218 -2.1827
-1.2166 -5.0171 5.1206
-4.4894 2.7585 5.0393
Pm Cl As Si
4 1 2 1
direct
0.0000 0.2395 0.2652 Pm
0.5000 0.7507 0.2562 Pm
0.0000 0.7605 0.7348 Pm
0.5000 0.2493 0.7438 Pm
0.5000 0.5000 0.0000 Cl
0.0000 0.0000 0.0000 As
0.5000 0.0000 0.5000 As
0.0000 0.5000 0.5000 Si
```

SG   P2/m, No. 10


Ordered ΔE_f (raw) results: -1.676, -1.667, -1.693, -1.304, -1.364, -1.367; unit eV per atom.
Ordered D(E_F) results: 4.53, 3.28, 5.24, 5.23, 3.82, 2.12; unit states/eV/cell.